No. 1
# VCuNiPt (GGA-PBE, relaxed)
# VASP energy = -6.44 eV per atom
data_VCuNiPt
_chemical_formula_sum 'V4 Cu4 Ni4 Pt4'
_symmetry_space_group_name_H-M 'F -4 3 m'
_symmetry_Int_Tables_number 216
_symmetry_space_group_name_Hall 'F -4 2 3'
_cell_length_a 5.9357
_cell_length_b 5.9357
_cell_length_c 5.9357
_cell_angle_alpha 90.00
_cell_angle_beta 90.00
_cell_angle_gamma 90.00
loop_
_atom_site_label
_atom_site_type_symbol
_atom_site_fract_x
_atom_site_fract_y
_atom_site_fract_z
V1 V 0.0000 0.0000 0.0000
Cu1 Cu 0.0000 0.0000 0.5000
Ni1 Ni 0.2500 0.2500 0.7500
Pt1 Pt 0.2500 0.2500 0.2500

No. 2
# BaCaSn (GGA-PBE, relaxed)
# VASP energy = -2.42 eV per atom
data_BaCaSn
_chemical_formula_sum 'Ba2 Ca2 Sn2'
_symmetry_space_group_name_H-M 'I 4 m m'
_symmetry_Int_Tables_number 107
_symmetry_space_group_name_Hall 'I 4 -2'
_cell_length_a 3.6189
_cell_length_b 3.6189
_cell_length_c 19.8515
_cell_angle_alpha 90.00
_cell_angle_beta 90.00
_cell_angle_gamma 90.00
loop_
_atom_site_label
_atom_site_type_symbol
_atom_site_fract_x
_atom_site_fract_y
_atom_site_fract_z
Ba1 Ba 0.0000 0.0000 0.0000
Ca1 Ca 0.0000 0.0000 0.6681
Sn1 Sn 0.0000 0.0000 0.8277